ZrAlCu | PBEsol | optimized geometry

**Space-group type**: Imma
**Formation enthalpy at 0 K**: -0.4066 eV per atom
**DFT total energy**: -37.471 eV per cell
**Calculated volume**: 15.87 Å³/atom
**Crystal system**: orthorhombic
**Fermi-level density of states**: 0.967 states/eV per atom

Cell lengths 5.0976, 5.1109, 5.1109 Å; angles 61.37, 60.09, 60.09 degrees
Closest atoms and distances in Å follow each position.
Atoms (fractional coordinates):
Zr  0.3751  0.8749  0.3749  6 Cu 2.97-3.04, 6 Al 2.99-3.00, 4 Zr 3.12-3.16
Zr  0.6249  0.1251  0.6251  6 Cu 2.97-3.04, 6 Al 2.99-3.00, 4 Zr 3.12-3.16
Al  0.0000  0.0000  0.0000  4 Cu 2.56, 2 Al 2.61
Al  0.0000  0.5000  0.5000  4 Cu 2.56, 2 Al 2.61
Cu  0.5000  0.5000  0.0000  2 Cu 2.55, 4 Al 2.56
Cu  0.0000  0.5000  0.0000  2 Cu 2.55, 4 Al 2.56


HfCuGe | PBEsol | optimized geometry

**Space-group type**: I4/mmm
**Formation enthalpy at 0 K**: -0.5732 eV per atom
**DFT total energy**: -42.991 eV per cell
**Calculated volume**: 15.55 Å³/atom
**Crystal system**: tetragonal
**Fermi-level density of states**: 0.274 states/eV per atom

Cell lengths 3.7400, 3.7400, 7.1746 Å; angles 105.11, 105.11, 90.00 degrees
Closest atoms and distances in Å follow each position.
Atoms (fractional coordinates):
Hf  0.6695  0.6695  0.3390  5 Ge 2.70-2.71, 4 Cu 2.93
Hf  0.3305  0.3305  0.6610  5 Ge 2.70-2.71, 4 Cu 2.93
Cu  0.0000  0.5000  0.0000  4 Ge 2.52, 4 Cu 2.64
Cu  0.5000  0.0000  0.0000  4 Ge 2.52, 4 Cu 2.64
Ge  0.8730  0.8730  0.7459  4 Cu 2.52, 5 Hf 2.70-2.71
Ge  0.1270  0.1270  0.2541  4 Cu 2.52, 5 Hf 2.70-2.71


MgP4 | PBEsol | optimized geometry

**Space-group type**: P2_1/c
**Formation enthalpy at 0 K**: -0.2973 eV per atom
**DFT total energy**: -52.739 eV per cell
**Calculated volume**: 19.31 Å³/atom
**Crystal system**: monoclinic

Cell lengths 5.0565, 5.1311, 7.5288 Å; angles 98.61, 90.00, 90.00 degrees
Closest atoms and distances in Å follow each position.
Atoms (fractional coordinates):
P  0.7923  0.7486  0.2456  2 P 2.18
P  0.2923  0.2514  0.2544  2 P 2.18
P  0.2077  0.2514  0.7544  2 P 2.18
P  0.7077  0.7486  0.7456  2 P 2.18
P  0.3895  0.6054  0.9016  3 P 2.18-2.26
P  0.8895  0.3946  0.5984  3 P 2.18-2.26
P  0.6105  0.3946  0.0984  3 P 2.18-2.26
P  0.1105  0.6054  0.4016  3 P 2.18-2.26
Mg  0.5000  0.0000  0.5000  6 P 2.60-2.84
Mg  0.0000  0.0000  0.0000  6 P 2.60-2.84


KSi2Mo | PBEsol | optimized geometry

**E above lowest polymorph**: 6.6 kJ per mole of atoms
**Space-group type**: C2/m
**Energy relative to the elements, uncorrected**: 10.87 kJ per mole of atoms
**DFT total energy**: -23.944 eV per cell
**Calculated volume**: 22.04 Å³/atom
**Crystal system**: monoclinic
**Fermi-level density of states**: 0.262 states/eV per atom

Cell lengths 3.2047, 4.4763, 6.7245 Å; angles 101.00, 90.00, 110.98 degrees
Closest atoms and distances in Å follow each position.
Atoms (fractional coordinates):
K  0.0000  0.0000  0.5000  2 K 3.20, 6 Si 3.43-3.45
Mo  0.5000  0.0000  0.0000  6 Si 2.50-2.59
Si  0.7730  0.5460  0.8744  2 Si 2.42, 3 Mo 2.50-2.59
Si  0.2270  0.4540  0.1256  2 Si 2.42, 3 Mo 2.50-2.59


Mn2H2Ir | PBEsol | optimized geometry

**Space-group type**: I4/mmm
**DFT total energy**: -36.120 eV per cell
**Calculated volume**: 8.29 Å³/atom
**Crystal system**: tetragonal
**Fermi-level density of states**: 0.713 states/eV per atom

Cell lengths 2.6740, 2.6740, 6.0967 Å; angles 102.67, 102.67, 90.00 degrees
Closest atoms and distances in Å follow each position.
Atoms (fractional coordinates):
H  0.2500  0.7500  0.5000  4 Mn 1.75, 4 H 1.89
H  0.7500  0.2500  0.5000  4 Mn 1.75, 4 H 1.89
Ir  0.0000  0.0000  0.0000  8 Mn 2.59, 4 Ir 2.67
Mn  0.3471  0.3471  0.6942  4 H 1.75
Mn  0.6529  0.6529  0.3058  4 H 1.75


MnCoAg2 | PBEsol | optimized geometry

**E above lowest polymorph**: 9.8 kJ per mole of atoms
**Space-group type**: R-3m
**Formation enthalpy at 0 K**: 0.4787 eV per atom
**DFT total energy**: -22.206 eV per cell
**Calculated volume**: 14.37 Å³/atom
**Crystal system**: trigonal
**Fermi-level density of states**: 1.020 states/eV per atom

Cell lengths 2.7198, 2.7198, 9.1118 Å; angles 81.42, 81.42, 60.00 degrees
Closest atoms and distances in Å follow each position.
Atoms (fractional coordinates):
Ag  0.2482  0.2482  0.2555  3 Co 2.70, 6 Ag 2.72, 3 Mn 2.78
Ag  0.7518  0.7518  0.7445  3 Co 2.70, 6 Ag 2.72, 3 Mn 2.78
Co  0.5000  0.5000  0.5000  6 Ag 2.70, 6 Co 2.72
Mn  0.0000  0.0000  0.0000  6 Mn 2.72, 6 Ag 2.78


MgTlIn2 | PBEsol | optimized geometry

**Space-group type**: I-4m2
**Formation enthalpy at 0 K**: -0.0382 eV per atom
**DFT total energy**: -10.466 eV per cell
**Calculated volume**: 24.73 Å³/atom
**Crystal system**: tetragonal
**Fermi-level density of states**: 0.384 states/eV per atom

Cell lengths 4.5952, 4.5952, 5.7013 Å; angles 113.77, 113.77, 90.00 degrees
Closest atoms and distances in Å follow each position.
Atoms (fractional coordinates):
Tl  0.2500  0.7500  0.5000  8 In 3.25-3.28, 4 Mg 3.28
Mg  0.5000  0.5000  0.0000  8 In 3.25-3.28, 4 Tl 3.28
In  0.0000  0.0000  0.0000  4 Mg 3.25, 4 Tl 3.28, 4 In 3.28
In  0.7500  0.2500  0.5000  4 Tl 3.25, 4 In 3.28, 4 Mg 3.28


ErAl4Mo2 | PBEsol | optimized geometry

**Space-group type**: I4/mmm
**Formation enthalpy at 0 K**: -0.3671 eV per atom
**DFT total energy**: -47.398 eV per cell
**Calculated volume**: 16.77 Å³/atom
**Crystal system**: tetragonal
**Fermi-level density of states**: 0.516 states/eV per atom

Cell lengths 5.2966, 5.4019, 5.4019 Å; angles 76.09, 60.64, 60.64 degrees
Closest atoms and distances in Å follow each position.
Atoms (fractional coordinates):
Mo  0.2500  0.5000  0.5000  2 Mo 2.65, 8 Al 2.75
Mo  0.7500  0.5000  0.5000  2 Mo 2.65, 8 Al 2.75
Al  0.6950  0.6101  0.0000  4 Al 2.60-2.84, 4 Mo 2.75, 1 Er 2.87
Al  0.3050  0.3899  0.0000  4 Al 2.60-2.84, 4 Mo 2.75, 1 Er 2.87
Al  0.3050  0.0000  0.3899  4 Al 2.60-2.84, 4 Mo 2.75, 1 Er 2.87
Al  0.6950  0.0000  0.6101  4 Al 2.60-2.84, 4 Mo 2.75, 1 Er 2.87
Er  0.0000  0.0000  0.0000  4 Al 2.87